No. 1
{
  "formula": "Dy2Sc2CIBr2Cl2",
  "functional": "PBE-GGA",
  "state": "relaxed",
  "spacegroup": "C2/m, No. 12",
  "de_polymorph_mev_per_atom": 22,
  "cell": [[8.464, -1.871, 0.000], [8.464, 1.871, 0.000], [-2.048, 0.000, 7.815]],
  "species": ["Dy", "Dy", "Sc", "Sc", "C", "I", "Br", "Br", "Cl", "Cl"],
  "fractional_positions": [[0.144, 0.144, 0.076], [0.856, 0.856, 0.924], [0.499, 0.499, 0.183], [0.501, 0.501, 0.817], [0.000, 0.000, 0.000], [0.000, 0.000, 0.500], [0.334, 0.334, 0.656], [0.666, 0.666, 0.344], [0.334, 0.334, 0.155], [0.666, 0.666, 0.845]]
}


No. 2
{
  "formula": "Dy2Sc2CIBr2Cl2",
  "functional": "PBE-GGA",
  "state": "relaxed",
  "spacegroup": "C2/m, No. 12",
  "de_polymorph_mev_per_atom": 0,
  "cell": [[9.507, -1.858, 0.000], [9.507, 1.858, 0.000], [-1.894, 0.000, 8.278]],
  "species": ["Dy", "Dy", "Sc", "Sc", "C", "I", "Br", "Br", "Cl", "Cl"],
  "fractional_positions": [[0.000, 0.000, 0.192], [0.000, 0.000, 0.808], [0.380, 0.380, 0.936], [0.620, 0.620, 0.064], [0.500, 0.500, 0.000], [0.500, 0.500, 0.500], [0.157, 0.157, 0.861], [0.843, 0.843, 0.139], [0.148, 0.148, 0.282], [0.852, 0.852, 0.718]]
}


No. 3
{
  "formula": "Dy2Sc2CIBr2Cl2",
  "functional": "PBE-GGA",
  "state": "relaxed",
  "spacegroup": "C2/m, No. 12",
  "de_polymorph_mev_per_atom": 17,
  "cell": [[8.644, -1.869, 0.000], [8.644, 1.869, 0.000], [-1.802, 0.000, 7.818]],
  "species": ["Dy", "Dy", "Sc", "Sc", "C", "I", "Br", "Br", "Cl", "Cl"],
  "fractional_positions": [[0.140, 0.140, 0.075], [0.860, 0.860, 0.925], [0.500, 0.500, 0.184], [0.500, 0.500, 0.816], [0.000, 0.000, 0.000], [0.000, 0.000, 0.500], [0.332, 0.332, 0.176], [0.668, 0.668, 0.824], [0.346, 0.346, 0.679], [0.654, 0.654, 0.321]]
}


No. 4
{
  "formula": "Dy2Y2CIBr2Cl2",
  "functional": "PBE-GGA",
  "state": "relaxed",
  "energy_ev_per_atom": -5.469,
  "spacegroup": "C2/m, No. 12",
  "cell": [[8.573, -1.921, 0.000], [8.573, 1.921, 0.000], [-2.063, 0.000, 8.263]],
  "species": ["Dy", "Dy", "Y", "Y", "C", "I", "Br", "Br", "Cl", "Cl"],
  "fractional_positions": [[0.144, 0.144, 0.071], [0.856, 0.856, 0.929], [0.499, 0.499, 0.191], [0.501, 0.501, 0.809], [0.000, 0.000, 0.000], [0.000, 0.000, 0.500], [0.328, 0.328, 0.674], [0.672, 0.672, 0.326], [0.329, 0.329, 0.143], [0.671, 0.671, 0.857]]
}


Number 1: magnetization 0.01 μB per atom. Number 2: magnetization 0.00 μB per atom. Number 3: magnetization 0.02 μB per atom. Number 4: magnetization 0.02 μB per atom.